(1)
The following is a PBE calculation of RbMnFeCl6 after structural relaxation, from Alexandria via LeMat-Bulk.

Unit cell a=6.3628 b=6.3628 c=7.3206 alpha=90.00 beta=90.00 gamma=120.00
With the nearest neighbours (Å) after each atom.
Space group P312 (No. 149)
One atom of each set of equivalent atoms:
Rb 0.0000 0.0000 0.0000 x1  6 Cl 3.32
Mn 0.3333 0.6667 0.5000 x1  6 Cl 2.53
Fe 0.6667 0.3333 0.5000 x1  6 Cl 2.30
Cl 0.3869 0.0281 0.6827 x6  1 Fe 2.30, 1 Mn 2.53

Calculated values
Formation energy from raw total energies, eV per atom: -1.057
Crystal system: trigonal

=====

(2)
The following is a PBE calculation of RbMn2FeCl8 after structural relaxation, from Alexandria via LeMat-Bulk.

Unit cell a=6.3594 b=6.3823 c=8.9256 alpha=74.31 beta=75.05 gamma=74.04
With the nearest neighbours (Å) after each atom.
Space group P-1 (No. 2)
One atom of each set of equivalent atoms:
Rb 0.0000 0.0000 0.0000 x1  6 Cl 3.26-3.52
Mn 0.4506 0.4496 0.2250 x2  5 Cl 2.41-2.53
Fe 0.0000 0.0000 0.5000 x1  6 Cl 2.37-2.49
Cl 0.1887 0.7308 0.7109 x2  1 Mn 2.41, 1 Fe 2.49
Cl 0.2498 0.2348 0.4582 x2  1 Fe 2.37, 1 Mn 2.43
Cl 0.2586 0.8001 0.2973 x2  1 Mn 2.41, 1 Fe 2.48
Cl 0.3536 0.3235 0.0245 x2  2 Mn 2.42-2.53

Calculated values
Formation energy from raw total energies, eV per atom: -1.054
Crystal system: triclinic

=====

(3)
The following is a PBE calculation of Sr2MnFeCl after structural relaxation, from Alexandria via LeMat-Bulk.

Unit cell a=5.7311 b=5.7311 c=4.2356 alpha=90.00 beta=90.00 gamma=90.00
With the nearest neighbours (Å) after each atom.
Space group P4/mmm (No. 123)
One atom of each set of equivalent atoms:
Sr 0.0000 0.5000 0.0000 x2  2 Cl 2.87
Mn 0.0000 0.0000 0.5000 x1  8 Sr 3.56
Fe 0.5000 0.5000 0.5000 x1  2 Cl 2.12
Cl 0.5000 0.5000 0.0000 x1  2 Fe 2.12

Calculated values
Formation energy from raw total energies, eV per atom: 0.172
Crystal system: tetragonal

=====

(4)
The following is a PBE calculation of MnTlFeCl6 after structural relaxation, from Alexandria via LeMat-Bulk.

Unit cell a=6.3780 b=6.4279 c=7.0838 alpha=90.19 beta=91.04 gamma=118.83
With the nearest neighbours (Å) after each atom.
Space group P1 (No. 1)
One atom of each set of equivalent atoms:
Mn 0.0000 0.0000 0.0000 x1  6 Cl 2.43-2.58
Tl 0.3341 0.6691 0.4989 x1  6 Cl 3.22-3.25
Fe 0.6668 0.3420 0.9989 x1  6 Cl 2.38-2.49
Cl 0.3397 0.0441 0.1922 x1  1 Mn 2.43, 1 Fe 2.48
Cl 0.3457 0.2959 0.7959 x1  1 Fe 2.38, 1 Mn 2.58
Cl 0.7022 0.6549 0.2014 x1  1 Fe 2.38, 1 Mn 2.57
Cl 0.7121 0.0465 0.8007 x1  1 Mn 2.43, 1 Fe 2.49
Cl 0.9517 0.2888 0.1997 x1  1 Fe 2.44, 1 Mn 2.47
Cl 0.9579 0.6587 0.8073 x1  1 Fe 2.43, 1 Mn 2.48

Calculated values
Formation energy from raw total energies, eV per atom: -0.922
Crystal system: triclinic

=====

(5)
The following is a PBE calculation of Mn2TlFeCl8 after structural relaxation, from Alexandria via LeMat-Bulk.

Unit cell a=6.0044 b=7.9096 c=6.2707 alpha=90.00 beta=91.85 gamma=90.00
With the nearest neighbours (Å) after each atom.
Space group P2/m (No. 10)
One atom of each set of equivalent atoms:
Mn 0.0000 0.2411 0.0000 x2  6 Cl 2.56-2.59
Tl 0.5000 0.5000 0.5000 x1  6 Cl 2.88-2.91
Fe 0.5000 0.0000 0.5000 x1  6 Cl 2.40-2.68
Cl 0.2008 0.5000 0.8554 x2  2 Mn 2.56
Cl 0.2256 0.0000 0.8278 x2  2 Mn 2.59, 1 Fe 2.68
Cl 0.2693 0.2095 0.3260 x4  1 Fe 2.40, 1 Mn 2.58

Calculated values
Formation energy from raw total energies, eV per atom: -0.848
Crystal system: monoclinic

=====

(6)
The following is a PBE calculation of MnFe2WCl after structural relaxation, from Alexandria via LeMat-Bulk.

Unit cell a=4.0728 b=4.0728 c=4.1693 alpha=90.00 beta=90.00 gamma=90.00
With the nearest neighbours (Å) after each atom.
Space group P4/mmm (No. 123)
One atom of each set of equivalent atoms:
Mn 0.0000 0.0000 0.0000 x1  2 Cl 2.08
Fe 0.0000 0.5000 0.5000 x2  2 Cl 2.04
W 0.5000 0.5000 0.0000 x1  4 Mn 2.88, 8 Fe 2.91
Cl 0.0000 0.0000 0.5000 x1  4 Fe 2.04, 2 Mn 2.08

Calculated values
Formation energy from raw total energies, eV per atom: 1.088
Crystal system: tetragonal

=====

(7)
The following is a PBE calculation of FeMo3Cl after structural relaxation, from Alexandria via LeMat-Bulk.

Unit cell a=4.3482 b=4.3482 c=4.3482 alpha=90.00 beta=90.00 gamma=90.00
With the nearest neighbours (Å) after each atom.
Space group Pm-3m (No. 221)
One atom of each set of equivalent atoms:
Fe 0.0000 0.0000 0.0000 x1  12 Mo 3.07
Mo 0.0000 0.5000 0.5000 x3  2 Cl 2.17
Cl 0.5000 0.5000 0.5000 x1  6 Mo 2.17

Calculated values
Distance to the lowest polymorph of the same formula, kcal/mol of atoms: 0.00
Formation energy from raw total energies, eV per atom: 1.390
Crystal system: cubic

=====

(8)
The following is a PBE calculation of FeMoCl4 after structural relaxation, from Alexandria via LeMat-Bulk.

Unit cell a=8.2186 b=8.2186 c=8.2186 alpha=90.00 beta=90.00 gamma=90.00
With the nearest neighbours (Å) after each atom.
Space group F-43m (No. 216)
One atom of each set of equivalent atoms:
Fe 0.0000 0.0000 0.0000 x4  12 Cl 3.41, 4 Mo 3.56
Mo 0.2500 0.2500 0.7500 x4  12 Cl 3.41, 4 Fe 3.56
Cl 0.1255 0.1255 0.3745 x16  6 Cl 2.89-2.92

Calculated values
Formation energy from raw total energies, eV per atom: 1.311
Crystal system: cubic

=====

(9)
The following is a PBE calculation of FeMo3Cl after structural relaxation, from Alexandria via LeMat-Bulk.

Unit cell a=4.5291 b=4.5291 c=4.5291 alpha=90.00 beta=90.00 gamma=90.00
With the nearest neighbours (Å) after each atom.
Space group Pm-3m (No. 221)
One atom of each set of equivalent atoms:
Fe 0.0000 0.0000 0.0000 x1  6 Mo 2.26
Mo 0.0000 0.0000 0.5000 x3  2 Fe 2.26
Cl 0.5000 0.5000 0.5000 x1  12 Mo 3.20

Calculated values
Distance to the lowest polymorph of the same formula, kcal/mol of atoms: 2.31
Formation energy from raw total energies, eV per atom: 1.491
Crystal system: cubic

=====

(10)
The following is a PBE calculation of Fe4MoCl after structural relaxation, from Alexandria via LeMat-Bulk.

Unit cell a=6.8614 b=6.8614 c=6.8614 alpha=90.00 beta=90.00 gamma=90.00
With the nearest neighbours (Å) after each atom.
Space group F-43m (No. 216)
One atom of each set of equivalent atoms:
Fe 0.1243 0.1243 0.1243 x16  6 Fe 2.41-2.44
Mo 0.2500 0.2500 0.7500 x4  12 Fe 2.84, 4 Cl 2.97
Cl 0.0000 0.0000 0.5000 x4  12 Fe 2.85, 4 Mo 2.97

Calculated values
Formation energy from raw total energies, eV per atom: 0.627
Crystal system: cubic

=====

(11)
The following is a PBE calculation of NbFe2MoCl after structural relaxation, from Alexandria via LeMat-Bulk.

Unit cell a=4.0798 b=4.0798 c=4.5662 alpha=90.00 beta=90.00 gamma=90.00
With the nearest neighbours (Å) after each atom.
Space group P4/mmm (No. 123)
One atom of each set of equivalent atoms:
Nb 0.0000 0.0000 0.0000 x1  2 Cl 2.28
Fe 0.0000 0.5000 0.5000 x2  2 Cl 2.04
Mo 0.5000 0.5000 0.0000 x1  4 Nb 2.88, 8 Fe 3.06
Cl 0.0000 0.0000 0.5000 x1  4 Fe 2.04, 2 Nb 2.28

Calculated values
Formation energy from raw total energies, eV per atom: 0.869
Crystal system: tetragonal

=====

| no. | total magnetic moment (Bohr magnetons per cell) |
| --- | --- |
| 1 | 6.11 |
| 2 | 13.98 |
| 3 | 5.62 |
| 4 | 9.39 |
| 5 | 14.16 |
| 6 | 4.40 |
| 7 | 0.00 |
| 8 | 27.83 |
| 9 | 0.00 |
| 10 | 29.90 |
| 11 | 2.94 |